A relaxed Pm2YSe crystal, computed with GGA-PBE.

Calculated values
Mass density ... 5.99 Mg/m³
Total magnetic moment ... 0.8 μB/f.u.
DOS at the Fermi energy ... 13.95 states/eV/cell
E_form (uncorrected) ... -0.78 eV per atom
Crystal system ... trigonal
ΔE to the lowest computed polymorph ... 23 meV/atom

CIF file:
```
data_Pm2YSe
_cell_length_a 3.8867
_cell_length_b 3.8867
_cell_length_c 29.0923
_cell_angle_alpha 90.00
_cell_angle_beta 90.00
_cell_angle_gamma 120.00
_symmetry_space_group_name_H-M 'R -3 m'
_symmetry_Int_Tables_number 166
_symmetry_space_group_name_Hall '-R 3 2"'
loop_
_atom_site_label
_atom_site_fract_x
_atom_site_fract_y
_atom_site_fract_z
_atom_site_occupancy
Pm1 0.0000 0.0000 0.2321 1
Y1 0.0000 0.0000 0.0000 1
Se1 0.0000 0.0000 0.5000 1
```

=====

A relaxed SmTl2TeO6 crystal, computed with GGA-PBE.

Calculated values
Mass density ... 8.45 Mg/m³
Total magnetic moment ... 0.0 μB/f.u.
DOS at the Fermi energy ... 10.20 states/eV/cell
E_form (uncorrected) ... -1.47 eV per atom
Crystal system ... orthorhombic

CIF file:
```
data_SmTl2TeO6
_cell_length_a 6.015
_cell_length_b 8.509
_cell_length_c 6.013
_cell_angle_alpha 90.00
_cell_angle_beta 90.00
_cell_angle_gamma 90.00
_symmetry_space_group_name_H-M 'P m m n'
_symmetry_Int_Tables_number 59
loop_
_symmetry_equiv_pos_as_xyz
'x,y,z'
'-x,-y,-z'
'-x+1/2,-y+1/2,z'
'x+1/2,y+1/2,-z'
'x+1/2,-y,-z'
'-x+1/2,y,z'
'-x,y+1/2,-z'
'x,-y+1/2,z'
loop_
_atom_site_label
_atom_site_fract_x
_atom_site_fract_y
_atom_site_fract_z
_atom_site_occupancy
Sm1 0.250 0.250 0.250 1
Tl1 0.250 0.000 0.750 1
Te1 0.250 0.750 0.250 1
O1 0.021 0.750 0.020 1
O2 0.021 0.750 0.479 1
O3 0.250 0.521 0.249 1
```

=====

A relaxed Rb3Y3ScS8 crystal, computed with GGA-PBE.

Calculated values
Mass density ... 3.18 Mg/m³
Total magnetic moment ... 0.0 μB/f.u.
DOS at the Fermi energy ... 21.65 states/eV/cell
E_form (uncorrected) ... -1.74 eV per atom
Crystal system ... monoclinic

CIF file:
```
data_Rb3Y3ScS8
_cell_length_a 13.806
_cell_length_b 7.966
_cell_length_c 9.093
_cell_angle_alpha 90.00
_cell_angle_beta 120.45
_cell_angle_gamma 90.00
_symmetry_space_group_name_H-M 'C 1 2/m 1'
_symmetry_Int_Tables_number 12
loop_
_symmetry_equiv_pos_as_xyz
'x,y,z'
'-x,-y,-z'
'-x,y,-z'
'x,-y,z'
'x+1/2,y+1/2,z'
'-x+1/2,-y+1/2,-z'
'-x+1/2,y+1/2,-z'
'x+1/2,-y+1/2,z'
loop_
_atom_site_label
_atom_site_fract_x
_atom_site_fract_y
_atom_site_fract_z
_atom_site_occupancy
Rb1 0.000 0.000 0.000 1
Rb2 0.250 0.250 0.000 1
Y1 0.000 0.500 0.500 1
Y2 0.250 0.250 0.500 1
Sc1 0.000 0.000 0.500 1
S1 0.019 0.240 0.316 1
S2 0.221 0.000 0.684 1
S3 0.231 0.500 0.693 1
```

=====

A relaxed CaFe2Rh crystal, computed with GGA-PBE.

Calculated values
Mass density ... 6.77 Mg/m³
ΔH_f (0 K) ... 401 meV per atom
Total magnetic moment ... 5.4 μB/f.u.
DOS at the Fermi energy ... 7.67 states/eV/cell
Crystal system ... orthorhombic

CIF file:
```
data_CaFe2Rh
_cell_length_a 5.286
_cell_length_b 8.527
_cell_length_c 2.771
_cell_angle_alpha 90.00
_cell_angle_beta 90.00
_cell_angle_gamma 90.00
_symmetry_space_group_name_H-M 'C m m m'
_symmetry_Int_Tables_number 65
_symmetry_space_group_name_Hall '-C 2 2'
loop_
_atom_site_label
_atom_site_fract_x
_atom_site_fract_y
_atom_site_fract_z
_atom_site_occupancy
Ca1 0.000 0.000 0.000 1
Fe1 0.250 0.250 0.500 1
Rh1 0.000 0.500 0.000 1
```

=====

A relaxed Na3Sr6Rh crystal, computed with GGA-PBE.

Calculated values
Mass density ... 2.54 Mg/m³
ΔH_f (0 K) ... -82 meV per atom
Total magnetic moment ... 0.0 μB/f.u.
DOS at the Fermi energy ... 28.53 states/eV/cell
Crystal system ... orthorhombic

CIF file:
```
data_Na3Sr6Rh
_cell_length_a 12.594
_cell_length_b 20.462
_cell_length_c 7.079
_cell_angle_alpha 90.00
_cell_angle_beta 90.00
_cell_angle_gamma 90.00
_symmetry_space_group_name_H-M 'C m c 21'
_symmetry_Int_Tables_number 36
loop_
_symmetry_equiv_pos_as_xyz
'x,y,z'
'-x,-y,z+1/2'
'-x,y,z'
'x,-y,z+1/2'
'x+1/2,y+1/2,z'
'-x+1/2,-y+1/2,z+1/2'
'-x+1/2,y+1/2,z'
'x+1/2,-y+1/2,z+1/2'
loop_
_atom_site_label
_atom_site_fract_x
_atom_site_fract_y
_atom_site_fract_z
_atom_site_occupancy
Na1 0.000 0.078 0.000 1
Na2 0.160 0.084 0.490 1
Sr1 0.000 0.242 0.657 1
Sr2 0.000 0.410 0.991 1
Sr3 0.163 0.250 0.166 1
Sr4 0.172 0.416 0.484 1
Rh1 0.000 0.332 0.339 1
```

=====

A relaxed KInPb crystal, computed with GGA-PBE.

Calculated values
Mass density ... 5.34 Mg/m³
ΔH_f (0 K) ... -28 meV per atom
Total magnetic moment ... 0.0 μB/f.u.
DOS at the Fermi energy ... 18.17 states/eV/cell
Crystal system ... tetragonal

CIF file:
```
data_KInPb
_cell_length_a 13.020
_cell_length_b 13.020
_cell_length_c 5.304
_cell_angle_alpha 90.00
_cell_angle_beta 90.00
_cell_angle_gamma 90.00
_symmetry_space_group_name_H-M 'I 4/m m m'
_symmetry_Int_Tables_number 139
_symmetry_space_group_name_Hall '-I 4 2'
loop_
_atom_site_label
_atom_site_fract_x
_atom_site_fract_y
_atom_site_fract_z
_atom_site_occupancy
K1 0.000 0.210 0.000 1
In1 0.213 0.213 0.500 1
Pb1 0.000 0.380 0.500 1
```

=====

A relaxed TcB2As8 crystal, computed with GGA-PBE.

Calculated values
Mass density ... 5.03 Mg/m³
ΔH_f (0 K) ... 232 meV per atom
Total magnetic moment ... 0.0 μB/f.u.
DOS at the Fermi energy ... 8.61 states/eV/cell
Crystal system ... monoclinic

CIF file:
```
data_TcB2As8
_cell_length_a 11.902
_cell_length_b 8.046
_cell_length_c 5.481
_cell_angle_alpha 90.00
_cell_angle_beta 115.21
_cell_angle_gamma 90.00
_symmetry_space_group_name_H-M 'C 1 2/m 1'
_symmetry_Int_Tables_number 12
loop_
_symmetry_equiv_pos_as_xyz
'x,y,z'
'-x,-y,-z'
'-x,y,-z'
'x,-y,z'
'x+1/2,y+1/2,z'
'-x+1/2,-y+1/2,-z'
'-x+1/2,y+1/2,-z'
'x+1/2,-y+1/2,z'
loop_
_atom_site_label
_atom_site_fract_x
_atom_site_fract_y
_atom_site_fract_z
_atom_site_occupancy
Tc1 0.000 0.000 0.000 1
B1 0.218 0.000 0.665 1
As1 0.082 0.174 0.413 1
As2 0.139 0.500 0.464 1
As3 0.209 0.000 0.035 1
```

=====

A relaxed Y2Zn3Au2 crystal, computed with GGA-PBE.

Calculated values
Mass density ... 9.07 Mg/m³
ΔH_f (0 K) ... -584 meV per atom
Total magnetic moment ... 0.0 μB/f.u.
DOS at the Fermi energy ... 8.62 states/eV/cell
Crystal system ... monoclinic

CIF file:
```
data_Y2Zn3Au2
_cell_length_a 9.959
_cell_length_b 4.530
_cell_length_c 6.640
_cell_angle_alpha 90.00
_cell_angle_beta 110.20
_cell_angle_gamma 90.00
_symmetry_space_group_name_H-M 'C 1 2/m 1'
_symmetry_Int_Tables_number 12
loop_
_symmetry_equiv_pos_as_xyz
'x,y,z'
'-x,-y,-z'
'-x,y,-z'
'x,-y,z'
'x+1/2,y+1/2,z'
'-x+1/2,-y+1/2,-z'
'-x+1/2,y+1/2,-z'
'x+1/2,-y+1/2,z'
loop_
_atom_site_label
_atom_site_fract_x
_atom_site_fract_y
_atom_site_fract_z
_atom_site_occupancy
Y1 0.148 0.000 0.268 1
Zn1 0.000 0.500 0.500 1
Zn2 0.100 0.500 0.923 1
Au1 0.153 0.000 0.728 1
```

=====

| no. | E (eV for the cell shown) |
| --- | --- |
| 1 | -67.8 |
| 2 | -114.1 |
| 3 | -175.6 |
| 4 | -49.3 |
| 5 | -88.9 |
| 6 | -61.0 |
| 7 | -116.7 |
| 8 | -54.8 |